Computed, not measured: a geometry-optimized K3Ce3AuSe8 structure at the PBE level of DFT.

Cell and atoms, written as POSCAR:
```
K3Ce3AuSe8
1.0
7.1356 -4.3635 0.0000
7.1356 4.3635 0.0000
-4.6076 0.0000 7.6943
K Ce Au Se
3 3 1 8
direct
0.0000 0.0000 0.0000
0.0000 0.5000 0.0000
0.5000 0.0000 0.0000
0.0000 0.5000 0.5000
0.5000 0.0000 0.5000
0.5000 0.5000 0.5000
0.0000 0.0000 0.5000
0.2085 0.2085 0.6814
0.2571 0.6995 0.7162
0.2622 0.2622 0.2901
0.3005 0.7429 0.2838
0.6995 0.2571 0.7162
0.7378 0.7378 0.7099
0.7429 0.3005 0.2838
0.7915 0.7915 0.3186
```

Properties
Space group = C2/m, No. 12
Formation energy (no corrections) = -1.34 eV/atom
Volume = 479.1 Å³/f.u.